Sm6Te3As2S | PBE | relaxed

Results
For the calculated volume, the calculation gives 28.11 Å³ per atom. The calculation puts the formation energy from raw total energies at -1846 kJ/mol of formula units. The total energy comes out at -5.859 eV per atom.

Structure (extended XYZ):
```
12
Lattice="9.467 -2.124 0.000 9.467 2.124 0.000 -2.329 0.000 8.389" Properties=species:S:1:pos:R:3 pbc="T T T"
Sm -0.412 0.000 1.875
Sm 5.177 0.000 3.642
Sm 4.418 0.000 7.576
Sm 12.186 0.000 0.813
Sm 11.427 0.000 4.747
Sm 17.016 0.000 6.515
Te 1.242 0.000 7.000
Te 8.302 0.000 4.195
Te 15.362 0.000 1.389
As 2.369 0.000 2.786
As 14.235 0.000 5.604
S 9.467 0.000 0.000
```

---

SmThAsS | PBE | relaxed

Results
For the calculated volume, the calculation gives 24.95 Å³ per atom. The calculation puts the formation energy from raw total energies at -650 kJ/mol of formula units. The total energy comes out at -6.913 eV per atom.

Structure (extended XYZ):
```
4
Lattice="4.119 0.000 0.000 0.000 4.119 0.000 0.000 0.000 5.884" Properties=species:S:1:pos:R:3 pbc="T T T"
Sm 0.000 0.000 0.000
Th 2.059 2.059 2.942
As 2.059 2.059 0.000
S 0.000 0.000 2.942
```

---

Sm6TlAs2S3 | PBE | relaxed

Results
For the calculated volume, the calculation gives 25.53 Å³ per atom. The calculation puts the formation energy from raw total energies at -1795 kJ/mol of formula units. The total energy comes out at -5.914 eV per atom.

Structure (extended XYZ):
```
12
Lattice="9.075 -2.064 0.000 9.075 2.064 0.000 -1.901 0.000 8.177" Properties=species:S:1:pos:R:3 pbc="T T T"
Sm -0.420 0.000 1.882
Sm 5.158 0.000 3.379
Sm 4.289 0.000 7.501
Sm 11.960 0.000 0.676
Sm 11.091 0.000 4.798
Sm 16.670 0.000 6.295
Tl 8.125 0.000 4.089
As 1.445 0.000 6.820
As 14.804 0.000 1.357
S 2.411 0.000 2.714
S 9.075 0.000 0.000
S 13.838 0.000 5.463
```

---

SmTmAsS | PBE | relaxed

Results
For the calculated volume, the calculation gives 23.79 Å³ per atom. The calculation puts the formation energy from raw total energies at -647 kJ/mol of formula units. The total energy comes out at -6.168 eV per atom.

Structure (extended XYZ):
```
4
Lattice="1.983 1.145 6.989 -1.983 1.145 6.989 0.000 -2.289 6.989" Properties=species:S:1:pos:R:3 pbc="T T T"
Sm 0.000 0.000 0.000
Tm 0.000 0.000 3.630
As 0.000 0.000 12.198
S 0.000 0.000 15.907
```

---

SmYAsS | PBE | relaxed

Results
For the calculated volume, the calculation gives 23.90 Å³ per atom. The calculation puts the formation energy from raw total energies at -696 kJ/mol of formula units. The total energy comes out at -6.792 eV per atom.

Structure (extended XYZ):
```
4
Lattice="2.041 1.178 6.624 -2.041 1.178 6.624 0.000 -2.357 6.624" Properties=species:S:1:pos:R:3 pbc="T T T"
Sm 0.000 0.000 0.000
Y 0.000 0.000 9.914
As 0.000 0.000 4.915
S 0.000 0.000 14.938
```

---

SmZnAsS | PBE | relaxed

Results
For the calculated volume, the calculation gives 23.21 Å³ per atom. The calculation puts the formation energy from raw total energies at -434 kJ/mol of formula units. The total energy comes out at -4.817 eV per atom.

Structure (extended XYZ):
```
8
Lattice="2.185 1.261 11.233 -2.185 1.261 11.233 0.000 -2.523 11.233" Properties=species:S:1:pos:R:3 pbc="T T T"
Sm 0.000 0.000 3.658
Sm 0.000 0.000 30.041
Zn 0.000 0.000 10.293
Zn 0.000 0.000 23.406
As 0.000 0.000 12.884
As 0.000 0.000 20.814
S 0.000 0.000 6.636
S 0.000 0.000 27.063
```

---

Number 1: M_tot 0.0000 μB/atom. Number 2: M_tot 0.0000 μB/atom. Number 3: M_tot 0.0000 μB/atom. Number 4: M_tot 0.0941 μB/atom. Number 5: M_tot 0.0000 μB/atom. Number 6: M_tot 0.0000 μB/atom.